# 1
First-principles (PBE) data for crystalline CsTiS2Cl at its relaxed geometry, as listed in Alexandria.

Its energy above the lowest structure with this stoichiometry is 0.0000 eV/atom.

It has space group P4/mmm (No. 123), with a = 4.808 Å, b = 4.808 Å, c = 5.265 Å, α = 90.00°, β = 90.00° and γ = 90.00°. The asymmetric unit holds Cs at (0.000, 0.000, 0.000), Ti at (0.500, 0.500, 0.500), S at (0.000, 0.500, 0.500) and Cl at (0.500, 0.500, 0.000).

---

# 2
First-principles (PBE) data for crystalline Cs2TiSCl6 at its relaxed geometry, as listed in Alexandria.

It has space group I4/mmm (No. 139), with a = 7.599 Å, b = 7.599 Å, c = 11.773 Å, α = 90.00°, β = 90.00° and γ = 90.00°. The asymmetric unit holds Cs at (0.000, 0.500, 0.250), Ti at (0.000, 0.000, 0.000), S at (0.000, 0.000, 0.500), Cl at (0.000, 0.000, 0.201) and Cl at (0.220, 0.220, 0.000).

---

The total magnetization results, record by record, are as follows: 0.00, 4.00 μB/cell.
The energy results, record by record, are as follows: -5.0553, -3.8238 eV per atom.